<a>
Material: InBiCl3
Method: DFT, PBE-GGA
State: optimized geometry

abc: 5.351 5.351 5.351
angles: 90.00 90.00 90.00
Site moments in Bohr magnetons follow the coordinates.
Positions (direct):
Cl 0.000 0.500 0.000  0.03
Cl 0.000 0.000 0.500  0.06
Cl 0.500 0.000 0.000  0.02
Bi 0.500 0.500 0.500  1.36
In 0.000 0.000 0.000  0.00

## Properties
The space group is No. 221. As for the calculated volume: 153.2 Å³ per cell. Its crystal system is cubic.


<b>
Material: InBiCl3
Method: DFT, PBE-GGA
State: optimized geometry

abc: 3.680 10.108 10.083
angles: 71.38 90.04 90.04
Positions (direct):
In 0.245 0.157 0.598
In 0.240 0.747 0.184
Bi 0.742 0.634 0.709
Bi 0.743 0.270 0.073
Cl 0.743 0.341 0.779
Cl 0.742 0.564 0.003
Cl 0.745 0.242 0.346
Cl 0.744 0.906 0.683
Cl 0.740 0.999 0.099
Cl 0.740 0.662 0.436

## Properties
The space group is No. 2. As for the calculated volume: 355.5 Å³ per cell. Its crystal system is triclinic.


<c>
Material: InBiCl3
Method: DFT, PBE-GGA
State: optimized geometry

abc: 5.643 5.643 5.643
angles: 90.00 90.00 90.00
Positions (direct):
Cl 0.000 0.500 0.000
Cl 0.000 0.000 0.500
Cl 0.500 0.000 0.000
Bi 0.000 0.000 0.000
In 0.500 0.500 0.500

## Properties
The space group is No. 221. As for the calculated volume: 179.7 Å³ per cell. Its crystal system is cubic.


<b> takes first place; second place is 166 meV per atom up.


<a>
Material: In2Bi2Cl
Method: DFT, PBE-GGA
State: optimized geometry

abc: 4.436 4.436 8.449
angles: 74.78 74.78 90.00
Positions (direct):
Cl 0.000 0.000 0.000
Bi 0.387 0.387 0.225
Bi 0.613 0.613 0.775
In 0.750 0.250 0.500
In 0.250 0.750 0.500

## Properties
The space group is No. 139. As for the calculated volume: 154.4 Å³ per cell. Its crystal system is tetragonal.


<b>
Material: In2Bi2Cl
Method: DFT, PBE-GGA
State: optimized geometry

abc: 9.080 9.080 3.636
angles: 90.00 90.00 90.00
Positions (direct):
Cl 0.000 0.000 0.000
Cl 0.500 0.500 0.000
Bi 0.352 0.852 0.000
Bi 0.852 0.648 0.000
Bi 0.648 0.148 0.000
Bi 0.148 0.352 0.000
In 0.149 0.649 0.500
In 0.649 0.851 0.500
In 0.851 0.351 0.500
In 0.351 0.149 0.500

## Properties
The space group is No. 127. As for the calculated volume: 299.8 Å³ per cell. Its crystal system is tetragonal.


<a> takes first place; second place is 45 meV per atom up.